MnCd2F4 | GGA+U | optimized geometry

a = 3.943 Å, b = 3.943 Å, c = 15.458 Å
α = 90.00°, β = 90.00°, γ = 90.00°
Space group I4/mmm (No. 139)
Asymmetric unit:
Mn  0.000  0.000  0.000 [2 per cell]
Cd  0.000  0.000  0.298 [4 per cell]
F  0.000  0.000  0.138 [4 per cell]
F  0.000  0.500  0.000 [4 per cell]

Computed properties:
- Total DFT energy (no corrections): -4.16 eV/atom
- ρ: 4.92 g cm⁻³
- DOS(E_F): 1.8 states/eV/f.u.
- V: 17.17 Å³/atom
- Total magnetization: 8.88 μB per cell